First-principles (PBE) data for crystalline K2RbAgGe at its relaxed geometry, as listed in the Alexandria database.

Energy of formation: 0.09 eV/atom
Crystal system: tetragonal

a = 6.634 Å, b = 6.634 Å, c = 5.034 Å
α = 90.00°, β = 90.00°, γ = 90.00°
Positions (direct):
1 K 0.000 0.500 0.000
2 K 0.500 0.000 0.000
3 Rb 0.000 0.000 0.500
4 Ag 0.500 0.500 0.500
5 Ge 0.500 0.500 0.000